Record 1
Computed, not measured: a relaxed structure of BeSb3I at the PBE level of DFT.

Computed properties:
E_form (uncorrected): 240 kJ/mol of formula units
Energy above the most stable polymorph in this dataset: 0.000 eV/atom
Crystal system: cubic
SG: No. 221
Calculated volume: 130 Å³/cell

Lattice parameters (Å, degrees): 5.068 5.068 5.068 90.00 90.00 90.00
Fractional positions:
Be1 0.000 0.000 0.000
Sb1 0.000 0.000 0.500
Sb2 0.000 0.500 0.000
Sb3 0.500 0.000 0.000
I1 0.500 0.500 0.500

Record 2
Computed, not measured: a relaxed structure of LiCaO at the PBE level of DFT.

Computed properties:
E_form (uncorrected): -496 kJ/mol of formula units
Energy above the most stable polymorph in this dataset: 0.000 eV/atom
Crystal system: trigonal
SG: No. 156
Calculated volume: 57 Å³/cell

Lattice parameters (Å, degrees): 3.392 3.392 5.670 90.00 90.00 120.00
Fractional positions:
Li1 0.000 0.000 0.000
Ca1 0.667 0.333 0.598
O1 0.333 0.667 0.795

Record 3
Computed, not measured: a relaxed structure of ErMgGa2 at the PBE level of DFT.

Computed properties:
Formation energy from the elements: -0.453 eV/atom
Crystal system: tetragonal
SG: No. 123
Calculated volume: 80 Å³/cell

Lattice parameters (Å, degrees): 4.385 4.385 4.181 90.00 90.00 90.00
Fractional positions:
Er1 0.000 0.000 0.000
Mg1 0.500 0.500 0.000
Ga1 0.000 0.500 0.500
Ga2 0.500 0.000 0.500

Record 4
Computed, not measured: a relaxed structure of EuPuInSn at the PBE level of DFT.

Computed properties:
Formation energy from the elements: -0.331 eV/atom
Crystal system: cubic
SG: No. 216
Calculated volume: 115 Å³/cell

Lattice parameters (Å, degrees): 5.465 5.465 5.465 60.00 60.00 60.00
Fractional positions:
Eu1 0.000 0.000 0.000
Pu1 0.500 0.500 0.500
In1 0.250 0.250 0.250
Sn1 0.750 0.750 0.750